# 1
# CrPt6Rh5 PBE relaxed
# **Energy of formation from the pure elements**: -1.13 eV per formula unit
# **Total magnetization**: 0.80 μB/cell
data_CrPt6Rh5
_chemical_formula_sum 'Cr1 Pt6 Rh5'
_cell_length_a 3.889
_cell_length_b 7.803
_cell_length_c 7.294
_cell_angle_alpha 122.31
_cell_angle_beta 105.46
_cell_angle_gamma 90.01
_symmetry_space_group_name_H-M 'P 1'
_symmetry_Int_Tables_number 1
_symmetry_space_group_name_Hall 'P 1'
loop_
_atom_site_label
_atom_site_fract_x
_atom_site_fract_y
_atom_site_fract_z
Cr1 0.000 0.000 0.000
Rh1 0.664 0.164 0.328
Rh2 0.336 0.336 0.673
Rh3 0.000 0.500 0.000
Rh4 0.664 0.664 0.327
Rh5 0.336 0.836 0.672
Pt1 0.834 0.587 0.668
Pt2 0.834 0.081 0.668
Pt3 0.500 0.757 0.000
Pt4 0.500 0.243 0.000
Pt5 0.166 0.919 0.332
Pt6 0.166 0.413 0.332

# 2
# CrPt2Rh PBE relaxed
# **Energy of formation from the pure elements**: -0.27 eV per formula unit
# **Total magnetization**: 0.50 μB/cell
data_CrPt2Rh
_chemical_formula_sum 'Cr1 Pt2 Rh1'
_cell_length_a 9.046
_cell_length_b 9.046
_cell_length_c 9.046
_cell_angle_alpha 17.34
_cell_angle_beta 17.34
_cell_angle_gamma 17.34
_symmetry_space_group_name_H-M 'P 1'
_symmetry_Int_Tables_number 1
_symmetry_space_group_name_Hall 'P 1'
loop_
_atom_site_label
_atom_site_fract_x
_atom_site_fract_y
_atom_site_fract_z
Cr1 0.750 0.750 0.750
Pt1 0.005 0.005 0.005
Pt2 0.495 0.495 0.495
Rh1 0.250 0.250 0.250

# 3
# CrPtRh2 PBE relaxed
# **Energy of formation from the pure elements**: -0.41 eV per formula unit
# **Total magnetization**: 1.01 μB/cell
data_CrPtRh2
_chemical_formula_sum 'Cr1 Pt1 Rh2'
_cell_length_a 3.793
_cell_length_b 2.714
_cell_length_c 6.106
_cell_angle_alpha 63.68
_cell_angle_beta 90.00
_cell_angle_gamma 90.00
_symmetry_space_group_name_H-M 'P 1'
_symmetry_Int_Tables_number 1
_symmetry_space_group_name_Hall 'P 1'
loop_
_atom_site_label
_atom_site_fract_x
_atom_site_fract_y
_atom_site_fract_z
Cr1 0.000 0.509 0.491
Pt1 0.500 0.757 0.742
Rh1 0.000 0.992 0.008
Rh2 0.500 0.242 0.259

# 4
# CrPt3Rh3 PBE relaxed
# **Energy of formation from the pure elements**: 0.58 eV per formula unit
# **Total magnetization**: 2.59 μB/cell
data_CrPt3Rh3
_chemical_formula_sum 'Cr2 Pt6 Rh6'
_cell_length_a 5.365
_cell_length_b 5.365
_cell_length_c 7.681
_cell_angle_alpha 90.00
_cell_angle_beta 90.00
_cell_angle_gamma 88.51
_symmetry_space_group_name_H-M 'P 1'
_symmetry_Int_Tables_number 1
_symmetry_space_group_name_Hall 'P 1'
loop_
_atom_site_label
_atom_site_fract_x
_atom_site_fract_y
_atom_site_fract_z
Cr1 0.253 0.253 0.000
Cr2 0.747 0.747 0.000
Pt1 0.000 0.000 0.757
Pt2 0.500 0.000 0.244
Pt3 0.000 0.500 0.244
Pt4 0.500 0.000 0.756
Pt5 0.000 0.500 0.756
Pt6 0.000 0.000 0.243
Rh1 0.260 0.260 0.500
Rh2 0.257 0.743 0.500
Rh3 0.743 0.257 0.500
Rh4 0.278 0.722 0.000
Rh5 0.722 0.278 0.000
Rh6 0.740 0.740 0.500